# FeGeC3 (PBE, relaxed)
# Fermi-level density of states (states/eV/cell): 2.17
# E_form (eV/atom): 1.995
# Electronic total energy (Ha/atom): -0.2262
data_FeGeC3
_chemical_formula_sum 'Fe1 Ge1 C3'
_symmetry_space_group_name_H-M 'P m -3 m'
_symmetry_Int_Tables_number 221
_symmetry_space_group_name_Hall '-P 4 2 3'
_cell_length_a 3.832
_cell_length_b 3.832
_cell_length_c 3.832
_cell_angle_alpha 90.00
_cell_angle_beta 90.00
_cell_angle_gamma 90.00
loop_
_atom_site_label
_atom_site_type_symbol
_atom_site_fract_x
_atom_site_fract_y
_atom_site_fract_z
Fe1 Fe 0.000 0.000 0.000
Ge1 Ge 0.500 0.500 0.500
C1 C 0.000 0.000 0.500


# Fe2GeC (PBE, relaxed)
# Fermi-level density of states (states/eV/cell): 7.23
# E_form (eV/atom): 0.073
# Electronic total energy (Ha/atom): -0.2800
data_Fe2GeC
_chemical_formula_sum 'Fe6 Ge3 C3'
_symmetry_space_group_name_H-M 'R -3 m'
_symmetry_Int_Tables_number 166
_symmetry_space_group_name_Hall '-R 3 2"'
_cell_length_a 2.8979
_cell_length_b 2.8979
_cell_length_c 17.9020
_cell_angle_alpha 90.00
_cell_angle_beta 90.00
_cell_angle_gamma 120.00
loop_
_atom_site_label
_atom_site_type_symbol
_atom_site_fract_x
_atom_site_fract_y
_atom_site_fract_z
Fe1 Fe 0.0000 0.0000 0.2211
Ge1 Ge 0.0000 0.0000 0.0000
C1 C 0.0000 0.0000 0.5000


# FeGe4H24C8S10N2 (PBE, relaxed)
# Fermi-level density of states (states/eV/cell): 1.37
# Electronic total energy (Ha/atom): -0.1879
data_FeGe4H24C8S10N2
_chemical_formula_sum 'Fe2 Ge8 H48 C16 S20 N4'
_symmetry_space_group_name_H-M 'I -4'
_symmetry_Int_Tables_number 82
_cell_length_a 9.676
_cell_length_b 9.676
_cell_length_c 14.530
_cell_angle_alpha 90.00
_cell_angle_beta 90.00
_cell_angle_gamma 90.00
loop_
_symmetry_equiv_pos_as_xyz
'x,y,z'
'y,-x,-z'
'-x,-y,z'
'-y,x,-z'
'x+1/2,y+1/2,z+1/2'
'y+1/2,-x+1/2,-z+1/2'
'-x+1/2,-y+1/2,z+1/2'
'-y+1/2,x+1/2,-z+1/2'
loop_
_atom_site_label
_atom_site_type_symbol
_atom_site_fract_x
_atom_site_fract_y
_atom_site_fract_z
Fe1 Fe 0.000 0.000 0.000
Ge1 Ge 0.059 0.321 0.161
H1 H 0.012 0.849 0.603
H2 H 0.032 0.154 0.398
H3 H 0.042 0.713 0.735
H4 H 0.068 0.361 0.648
H5 H 0.104 0.385 0.853
H6 H 0.144 0.835 0.516
C1 C 0.024 0.624 0.690
C2 C 0.084 0.906 0.560
S1 S 0.000 0.500 0.068
S2 S 0.124 0.743 0.249
S3 S 0.143 0.148 0.079
N1 N 0.000 0.000 0.500
N2 N 0.000 0.500 0.750


Q: Look up the Fermi-level density of states of the third one.
A: 1.37 states/eV/cell